# GGA-PBE Li4GaGe, relaxed
data_Li4GaGe
_chemical_formula_sum 'Li8 Ga2 Ge2'
_symmetry_space_group_name_H-M 'C 1 2/m 1'
_symmetry_Int_Tables_number 12
_cell_length_a 7.666
_cell_length_b 4.418
_cell_length_c 5.358
_cell_angle_alpha 90.00
_cell_angle_beta 90.03
_cell_angle_gamma 90.00
loop_
_symmetry_equiv_pos_as_xyz
'x,y,z'
'-x,-y,-z'
'-x,y,-z'
'x,-y,z'
'x+1/2,y+1/2,z'
'-x+1/2,-y+1/2,-z'
'-x+1/2,y+1/2,-z'
'x+1/2,-y+1/2,z'
loop_
_atom_site_label
_atom_site_type_symbol
_atom_site_fract_x
_atom_site_fract_y
_atom_site_fract_z
_atom_site_occupancy
Li1 Li 0.167 0.000 0.236 1
Li2 Li 0.167 0.000 0.752 1
Ga1 Ga 0.000 0.500 0.500 1
Ge1 Ge 0.000 0.500 0.000 1
# E_form = -0.31 eV/atom
# E_tot = -34.302 eV/cell
# Crystal system = monoclinic
# Magnetic moment = 0.00 μB/cell

# GGA-PBE LiGaGe, relaxed
data_LiGaGe
_chemical_formula_sum 'Li4 Ga4 Ge4'
_symmetry_space_group_name_H-M 'P 1'
_symmetry_Int_Tables_number 1
_cell_length_a 5.162
_cell_length_b 6.986
_cell_length_c 7.233
_cell_angle_alpha 114.97
_cell_angle_beta 102.12
_cell_angle_gamma 101.27
loop_
_symmetry_equiv_pos_as_xyz
'x,y,z'
loop_
_atom_site_label
_atom_site_type_symbol
_atom_site_fract_x
_atom_site_fract_y
_atom_site_fract_z
_atom_site_occupancy
Li1 Li 0.000 0.000 0.000 1
Li2 Li 0.109 0.870 0.439 1
Li3 Li 0.519 0.829 0.158 1
Li4 Li 0.677 0.326 0.242 1
Ga1 Ga 0.191 0.269 0.437 1
Ga2 Ga 0.333 0.288 0.834 1
Ga3 Ga 0.611 0.750 0.530 1
Ga4 Ga 0.747 0.185 0.599 1
Ge1 Ge 0.016 0.615 0.662 1
Ge2 Ge 0.198 0.464 0.182 1
Ge3 Ge 0.458 0.953 0.853 1
Ge4 Ge 0.839 0.580 0.973 1
# E_form = -0.12 eV/atom
# E_tot = -39.644 eV/cell
# Crystal system = triclinic
# Magnetic moment = 0.00 μB/cell

# GGA-PBE Li5GaGe, relaxed
data_Li5GaGe
_chemical_formula_sum 'Li20 Ga4 Ge4'
_symmetry_space_group_name_H-M 'C 1 2/c 1'
_symmetry_Int_Tables_number 15
_cell_length_a 9.321
_cell_length_b 5.271
_cell_length_c 9.514
_cell_angle_alpha 90.00
_cell_angle_beta 97.28
_cell_angle_gamma 90.00
loop_
_symmetry_equiv_pos_as_xyz
'x,y,z'
'-x,-y,-z'
'-x,y,-z+1/2'
'x,-y,z+1/2'
'x+1/2,y+1/2,z'
'-x+1/2,-y+1/2,-z'
'-x+1/2,y+1/2,-z+1/2'
'x+1/2,-y+1/2,z+1/2'
loop_
_atom_site_label
_atom_site_type_symbol
_atom_site_fract_x
_atom_site_fract_y
_atom_site_fract_z
_atom_site_occupancy
Li1 Li 0.000 0.213 0.250 1
Li2 Li 0.150 0.463 0.034 1
Li3 Li 0.226 0.056 0.689 1
Ga1 Ga 0.000 0.309 0.750 1
Ge1 Ge 0.000 0.000 0.000 1
# E_form = -0.19 eV/atom
# E_tot = -74.154 eV/cell
# Crystal system = monoclinic
# Magnetic moment = 0.00 μB/cell

# GGA-PBE Li2Ga2Ge, relaxed
data_Li2Ga2Ge
_chemical_formula_sum 'Li4 Ga4 Ge2'
_symmetry_space_group_name_H-M 'I 4/m m m'
_symmetry_Int_Tables_number 139
_symmetry_space_group_name_Hall '-I 4 2'
_cell_length_a 3.751
_cell_length_b 3.751
_cell_length_c 12.654
_cell_angle_alpha 90.00
_cell_angle_beta 90.00
_cell_angle_gamma 90.00
loop_
_atom_site_label
_atom_site_type_symbol
_atom_site_fract_x
_atom_site_fract_y
_atom_site_fract_z
_atom_site_occupancy
Li1 Li 0.000 0.500 0.250 1
Ga1 Ga 0.000 0.000 0.098 1
Ge1 Ge 0.000 0.000 0.500 1
# E_form = -0.05 eV/atom
# E_tot = -29.544 eV/cell
# Crystal system = tetragonal
# Magnetic moment = 0.00 μB/cell
# Energy above the lowest structure with this stoichiometry = 0.98 eV per formula unit

# GGA-PBE Li6Ga2Ge, relaxed
data_Li6Ga2Ge
_chemical_formula_sum 'Li6 Ga2 Ge1'
_symmetry_space_group_name_H-M 'P -6 2 m'
_symmetry_Int_Tables_number 189
_symmetry_space_group_name_Hall 'P -6 -2'
_cell_length_a 7.7903
_cell_length_b 7.7903
_cell_length_c 2.7821
_cell_angle_alpha 90.00
_cell_angle_beta 90.00
_cell_angle_gamma 120.00
loop_
_atom_site_label
_atom_site_type_symbol
_atom_site_fract_x
_atom_site_fract_y
_atom_site_fract_z
_atom_site_occupancy
Li1 Li 0.0000 0.3556 0.0000 1
Li2 Li 0.0000 0.7016 0.5000 1
Ga1 Ga 0.3333 0.6667 0.5000 1
Ge1 Ge 0.0000 0.0000 0.0000 1
# E_form = -0.26 eV/atom
# E_tot = -24.468 eV/cell
# Crystal system = hexagonal
# Magnetic moment = 0.00 μB/cell
# Energy above the lowest structure with this stoichiometry = 0.29 eV per formula unit

# GGA-PBE Li8GaGe2, relaxed
data_Li8GaGe2
_chemical_formula_sum 'Li16 Ga2 Ge4'
_symmetry_space_group_name_H-M 'C 1 2/m 1'
_symmetry_Int_Tables_number 12
_cell_length_a 7.342
_cell_length_b 13.234
_cell_length_c 4.532
_cell_angle_alpha 90.00
_cell_angle_beta 125.15
_cell_angle_gamma 90.00
loop_
_symmetry_equiv_pos_as_xyz
'x,y,z'
'-x,-y,-z'
'-x,y,-z'
'x,-y,z'
'x+1/2,y+1/2,z'
'-x+1/2,-y+1/2,-z'
'-x+1/2,y+1/2,-z'
'x+1/2,-y+1/2,z'
loop_
_atom_site_label
_atom_site_type_symbol
_atom_site_fract_x
_atom_site_fract_y
_atom_site_fract_z
_atom_site_occupancy
Li1 Li 0.000 0.204 0.000 1
Li2 Li 0.095 0.500 0.810 1
Li3 Li 0.229 0.140 0.705 1
Ga1 Ga 0.000 0.000 0.000 1
Ge1 Ge 0.000 0.322 0.500 1
# E_form = -0.19 eV/atom
# E_tot = -59.357 eV/cell
# Crystal system = monoclinic
# Magnetic moment = 0.00 μB/cell
# Energy above the lowest structure with this stoichiometry = 0.67 eV per formula unit